[1]
First-principles (PBE) data for a relaxed structure of CaNdHo2, as listed in Alexandria via LeMat-Bulk.

a b c (Å): 12.207 12.207 12.207
angles (deg): 17.06 17.06 17.06
Positions (direct):
Ca 0.000 0.000 0.000
Nd 0.166 0.166 0.166
Ho 0.579 0.579 0.579
Ho 0.753 0.753 0.753

Symmetry ... R3m, No. 160
Excess energy over the best structure of this formula in the dataset ... 0 meV/atom



[2]
First-principles (PBE) data for a relaxed structure of CaPmNd6Ho2, as listed in Alexandria via LeMat-Bulk.

a b c (Å): 9.032 9.032 9.910
angles (deg): 94.20 94.20 118.31
Positions (direct):
Ca 0.097 0.903 0.750
Ca 0.903 0.097 0.250
Pm 0.473 0.527 0.250
Pm 0.527 0.473 0.750
Nd 0.004 0.791 0.378
Nd 0.066 0.526 0.177
Nd 0.209 0.996 0.122
Nd 0.262 0.613 0.552
Nd 0.387 0.738 0.948
Nd 0.474 0.934 0.323
Nd 0.526 0.066 0.677
Nd 0.613 0.262 0.052
Nd 0.738 0.387 0.448
Nd 0.791 0.004 0.878
Nd 0.934 0.474 0.823
Nd 0.996 0.209 0.622
Ho 0.201 0.302 0.955
Ho 0.302 0.201 0.455
Ho 0.698 0.799 0.545
Ho 0.799 0.698 0.045

Symmetry ... C2/c, No. 15



no.,energy of formation from the pure elements (meV/atom)
1,66
2,132